Computed, not measured: LaCo2I at its PBEsol-relaxed geometry at the SCAN level of DFT.

Cell and atoms, written as POSCAR:
```
LaCo2I
1.0
4.652 0.000 0.000
0.000 4.652 0.000
0.000 0.000 16.078
La Co I
4 8 4
direct
0.000 0.000 0.000 La
0.000 0.500 0.250 La
0.500 0.000 0.750 La
0.500 0.500 0.500 La
0.063 0.250 0.625 Co
0.250 0.563 0.875 Co
0.250 0.937 0.375 Co
0.437 0.250 0.125 Co
0.563 0.750 0.125 Co
0.750 0.063 0.375 Co
0.750 0.437 0.875 Co
0.937 0.750 0.625 Co
0.000 0.000 0.500 I
0.000 0.500 0.750 I
0.500 0.000 0.250 I
0.500 0.500 0.000 I
```

crystal system = tetragonal
space-group type = I-42d (122)

=====

Computed, not measured: Rb2La10Co2I17 at its PBEsol-relaxed geometry at the SCAN level of DFT.

Cell and atoms, written as POSCAR:
```
Rb2La10Co2I17
1.0
6.811 -9.440 0.000
6.811 9.440 0.000
-0.767 0.000 9.628
Rb La Co I
2 10 2 17
direct
0.187 0.813 0.000 Rb
0.813 0.187 0.000 Rb
0.165 0.165 0.436 La
0.204 0.514 0.570 La
0.298 0.298 0.805 La
0.430 0.430 0.331 La
0.486 0.796 0.430 La
0.514 0.204 0.570 La
0.570 0.570 0.669 La
0.702 0.702 0.195 La
0.796 0.486 0.430 La
0.835 0.835 0.564 La
0.354 0.354 0.572 Co
0.646 0.646 0.428 Co
0.030 0.692 0.584 I
0.062 0.062 0.724 I
0.107 0.443 0.864 I
0.215 0.215 0.123 I
0.254 0.600 0.261 I
0.308 0.970 0.416 I
0.400 0.746 0.739 I
0.443 0.107 0.864 I
0.500 0.500 0.000 I
0.557 0.893 0.136 I
0.600 0.254 0.261 I
0.692 0.030 0.584 I
0.746 0.400 0.739 I
0.785 0.785 0.877 I
0.893 0.557 0.136 I
0.938 0.938 0.276 I
0.970 0.308 0.416 I
```

crystal system = monoclinic
space-group type = C2/m (12)

=====

Computed, not measured: La2ZrCoI at its PBEsol-relaxed geometry at the SCAN level of DFT.

Cell and atoms, written as POSCAR:
```
La2ZrCoI
1.0
5.782 0.000 0.000
0.000 5.782 0.000
0.000 0.000 4.359
La Zr Co I
2 1 1 1
direct
0.000 0.500 0.000 La
0.500 0.000 0.000 La
0.000 0.000 0.000 Zr
0.000 0.000 0.500 Co
0.500 0.500 0.500 I
```

crystal system = tetragonal
space-group type = P4/mmm (123)

=====

Computed, not measured: Li2CoI at its PBEsol-relaxed geometry at the SCAN level of DFT.

Cell and atoms, written as POSCAR:
```
Li2CoI
1.0
6.521 0.000 0.000
0.000 6.521 0.000
0.000 0.000 6.521
Li Co I
8 4 4
direct
0.250 0.250 0.250 Li
0.250 0.250 0.750 Li
0.250 0.750 0.250 Li
0.250 0.750 0.750 Li
0.750 0.250 0.250 Li
0.750 0.250 0.750 Li
0.750 0.750 0.250 Li
0.750 0.750 0.750 Li
0.000 0.000 0.000 Co
0.000 0.500 0.500 Co
0.500 0.000 0.500 Co
0.500 0.500 0.000 Co
0.000 0.000 0.500 I
0.000 0.500 0.000 I
0.500 0.000 0.000 I
0.500 0.500 0.500 I
```

crystal system = cubic
space-group type = Fm-3m (225)

=====

Computed, not measured: LiCoI2 at its PBEsol-relaxed geometry at the SCAN level of DFT.

Cell and atoms, written as POSCAR:
```
LiCoI2
1.0
7.122 0.000 0.000
0.000 7.122 0.000
0.000 0.000 7.122
Li Co I
4 4 8
direct
0.000 0.000 0.000 Li
0.000 0.500 0.500 Li
0.500 0.000 0.500 Li
0.500 0.500 0.000 Li
0.000 0.000 0.500 Co
0.000 0.500 0.000 Co
0.500 0.000 0.000 Co
0.500 0.500 0.500 Co
0.250 0.250 0.250 I
0.250 0.250 0.750 I
0.250 0.750 0.250 I
0.250 0.750 0.750 I
0.750 0.250 0.250 I
0.750 0.250 0.750 I
0.750 0.750 0.250 I
0.750 0.750 0.750 I
```

crystal system = cubic
space-group type = Fm-3m (225)

=====

Computed, not measured: LiCoI2 at its PBEsol-relaxed geometry at the SCAN level of DFT.

Cell and atoms, written as POSCAR:
```
LiCoI2
1.0
6.135 0.000 0.000
0.000 6.135 0.000
0.000 0.000 11.840
Li Co I
4 4 8
direct
0.000 0.000 0.000 Li
0.000 0.500 0.250 Li
0.500 0.000 0.750 Li
0.500 0.500 0.500 Li
0.000 0.000 0.500 Co
0.000 0.500 0.750 Co
0.500 0.000 0.250 Co
0.500 0.500 0.000 Co
0.223 0.250 0.625 I
0.250 0.723 0.875 I
0.250 0.777 0.375 I
0.277 0.250 0.125 I
0.723 0.750 0.125 I
0.750 0.223 0.375 I
0.750 0.277 0.875 I
0.777 0.750 0.625 I
```

crystal system = tetragonal
space-group type = I-42d (122)

=====

Computed, not measured: MgCo2I at its PBEsol-relaxed geometry at the SCAN level of DFT.

Cell and atoms, written as POSCAR:
```
MgCo2I
1.0
4.113 0.000 0.000
0.000 4.113 0.000
0.000 0.000 16.616
Mg Co I
4 8 4
direct
0.000 0.000 0.000 Mg
0.000 0.500 0.250 Mg
0.500 0.000 0.750 Mg
0.500 0.500 0.500 Mg
0.177 0.250 0.625 Co
0.250 0.677 0.875 Co
0.250 0.823 0.375 Co
0.323 0.250 0.125 Co
0.677 0.750 0.125 Co
0.750 0.177 0.375 Co
0.750 0.323 0.875 Co
0.823 0.750 0.625 Co
0.000 0.000 0.500 I
0.000 0.500 0.750 I
0.500 0.000 0.250 I
0.500 0.500 0.000 I
```

crystal system = tetragonal
space-group type = I-42d (122)

=====

Computed, not measured: Mg2CoRuI at its PBEsol-relaxed geometry at the SCAN level of DFT.

Cell and atoms, written as POSCAR:
```
Mg2CoRuI
1.0
5.000 0.000 0.000
0.000 5.000 0.000
0.000 0.000 4.854
Mg Co Ru I
2 1 1 1
direct
0.000 0.500 0.000 Mg
0.500 0.000 0.000 Mg
0.000 0.000 0.500 Co
0.500 0.500 0.000 Ru
0.500 0.500 0.500 I
```

crystal system = tetragonal
space-group type = P4/mmm (123)

=====

Uncorrected energy for every record listed, in sequence, given in hartree per atom: -1.0378; -1.3936; -1.2489; -0.5364; -0.8505; -0.8705; -0.6752; -0.6967.
E_form (uncorrected) for every record listed, in sequence, given in eV/atom: 0.373; -1.414; 0.206; 0.109; 0.152; -0.394; 0.709; 0.805.